The following is a DFT calculation (PBE) of an optimized crystal structure of Ac5NdCd4.

Properties
DFT formation energy in eV per formula unit: -2.26
Total magnetization in μB/atom: 0.001
SG: P4/mmm, No. 123

a = 4.0395 Å, b = 4.0395 Å, c = 21.6406 Å
α = 90.00°, β = 90.00°, γ = 90.00°
Closest atoms and distances in Å follow each position.
Positions (direct):
Ac1 0.0000 0.0000 0.0000  8 Cd 3.52
Ac2 0.0000 0.0000 0.1903  8 Cd 3.53-3.55
Ac3 0.0000 0.0000 0.3812  4 Cd 3.50, 4 Nd 3.84
Ac4 0.0000 0.0000 0.6188  4 Cd 3.50, 4 Nd 3.84
Ac5 0.0000 0.0000 0.8097  8 Cd 3.53-3.55
Nd1 0.5000 0.5000 0.5000  8 Ac 3.84, 4 Nd 4.04
Cd1 0.5000 0.5000 0.0948  8 Ac 3.52-3.53
Cd2 0.5000 0.5000 0.2875  8 Ac 3.50-3.55
Cd3 0.5000 0.5000 0.7125  8 Ac 3.50-3.55
Cd4 0.5000 0.5000 0.9052  8 Ac 3.52-3.53

***

The following is a DFT calculation (PBE) of an optimized crystal structure of SrAgMo4.

Properties
DFT formation energy in eV per formula unit: 4.38
Total magnetization in μB/atom: 0.000
SG: F-43m, No. 216

a = 5.4698 Å, b = 5.4698 Å, c = 5.4698 Å
α = 60.00°, β = 60.00°, γ = 60.00°
Closest atoms and distances in Å follow each position.
Positions (direct):
Sr1 0.0000 0.0000 0.0000  12 Mo 3.21, 4 Ag 3.35
Ag1 0.7500 0.7500 0.7500  12 Mo 3.21, 4 Sr 3.35
Mo1 0.3751 0.3751 0.3751  6 Mo 2.73-2.74
Mo2 0.3751 0.3751 0.8748  6 Mo 2.73-2.74
Mo3 0.3751 0.8748 0.3751  6 Mo 2.73-2.74
Mo4 0.8748 0.3751 0.3751  6 Mo 2.73-2.74

***

- Number 2 is which compound?
  SrAgMo4

***

- total magnetization of number 2 (SrAgMo4)?
  0.000 μB/atom

***

- DFT formation energy of number 1 (Ac5NdCd4)?
  -2.26 eV per formula unit

***

- Among the records above, which one has the lowest total magnetization?
  SrAgMo4